[1]
Here is a relaxed structure of YTcPd2 from Alexandria via LeMat-Bulk. Energies are from PBE.

Properties
- Energy relative to the lowest polymorph listed for this composition: 326 meV per atom
- Crystal system: tetragonal
- Space-group type: I-42d (122)

Lattice parameters (Å, degrees): 4.0829 4.0829 9.7570 77.92 77.92 90.00
Closest atoms and distances in Å follow each position.
Fractional coordinates of all 8 atoms:
Y 0.5000 0.5000 0.0000  4 Pd 2.78, 4 Tc 2.89
Y 0.2500 0.7500 0.5000  4 Pd 2.78, 4 Tc 2.89
Pd 0.8750 0.9003 0.7500  2 Tc 2.70, 2 Pd 2.74, 2 Y 2.78
Pd 0.6503 0.1250 0.2500  2 Tc 2.70, 2 Pd 2.74, 2 Y 2.78
Pd 0.0997 0.6250 0.2500  2 Tc 2.70, 2 Pd 2.74, 2 Y 2.78
Pd 0.3750 0.3497 0.7500  2 Tc 2.70, 2 Pd 2.74, 2 Y 2.78
Tc 0.0000 0.0000 0.0000  4 Pd 2.70, 4 Y 2.89
Tc 0.7500 0.2500 0.5000  4 Pd 2.70, 4 Y 2.89


[2]
Here is a relaxed structure of DyEr2PuS4 from Alexandria via LeMat-Bulk. Energies are from PBE.

Properties
- Crystal system: monoclinic
- Formation energy without anion corrections: -187.6 kJ per mole of atoms
- Space-group type: P2/m (10)

Lattice parameters (Å, degrees): 3.8808 6.7528 6.7599 109.18 90.00 90.00
Closest atoms and distances in Å follow each position.
Fractional coordinates of all 8 atoms:
S 0.0000 0.7538 0.2562  3 Er 2.73-2.74, 1 Dy 2.77, 2 Pu 2.78
S 0.5000 0.2499 0.2551  3 Er 2.72-2.74, 2 Dy 2.77, 1 Pu 2.78
S 0.5000 0.7501 0.7449  3 Er 2.72-2.74, 2 Dy 2.77, 1 Pu 2.78
S 0.0000 0.2462 0.7438  3 Er 2.73-2.74, 1 Dy 2.77, 2 Pu 2.78
Er 0.5000 0.0000 0.5000  6 S 2.72-2.73
Er 0.0000 0.5000 0.5000  6 S 2.74
Pu 0.5000 0.5000 0.0000  6 S 2.78
Dy 0.0000 0.0000 0.0000  6 S 2.77


[3]
Here is a relaxed structure of Ce2PrPuS4 from Alexandria via LeMat-Bulk. Energies are from PBE.

Properties
- Crystal system: monoclinic
- Formation energy without anion corrections: -190.1 kJ per mole of atoms
- Space-group type: P2/m (10)

Lattice parameters (Å, degrees): 4.0143 6.9616 7.0061 109.34 90.00 90.00
Closest atoms and distances in Å follow each position.
Fractional coordinates of all 8 atoms:
S 0.0000 0.2569 0.7531  2 Pu 2.82, 3 Ce 2.83-2.88, 1 Pr 2.87
S 0.5000 0.7437 0.7480  3 Ce 2.82-2.87, 1 Pu 2.82, 2 Pr 2.87
S 0.5000 0.2563 0.2520  3 Ce 2.82-2.87, 1 Pu 2.82, 2 Pr 2.87
S 0.0000 0.7431 0.2469  2 Pu 2.82, 3 Ce 2.83-2.88, 1 Pr 2.87
Pu 0.5000 0.5000 0.0000  6 S 2.82
Pr 0.0000 0.0000 0.0000  6 S 2.87
Ce 0.0000 0.5000 0.5000  6 S 2.82-2.83
Ce 0.5000 0.0000 0.5000  6 S 2.87-2.88